(1)
Below is a geometry-optimized LiSnSe2N structure, with properties calculated at the PBE level.

The structure in POSCAR format:
```
LiSnSe2N
1.0
5.411 0.000 0.000
0.000 5.411 0.000
0.000 0.000 4.129
Li Sn Se N
1 1 2 1
direct
0.500 0.500 0.500
0.000 0.000 0.000
0.000 0.500 0.000
0.500 0.000 0.000
0.000 0.000 0.500
```

Summary:
The calculation puts the uncorrected formation energy at 0.409 eV per atom. For the distance to the lowest polymorph of the same formula, the calculation gives 0.000 eV per atom.

***

(2)
Below is a geometry-optimized TbPm3Sc4 structure, with properties calculated at the PBE level.

The structure in POSCAR format:
```
TbPm3Sc4
1.0
5.979 0.000 0.000
0.000 7.140 0.000
0.000 0.000 10.907
Tb Pm Sc
2 6 8
direct
0.135 0.360 0.000
0.635 0.640 0.500
0.637 0.639 0.000
0.993 0.638 0.250
0.493 0.362 0.250
0.137 0.361 0.500
0.493 0.362 0.750
0.993 0.638 0.750
0.149 0.890 0.000
0.648 0.109 0.000
0.980 0.109 0.249
0.480 0.891 0.251
0.148 0.891 0.500
0.649 0.110 0.500
0.480 0.891 0.749
0.980 0.109 0.751
```

Summary:
As for the energy of formation: 53 meV/atom.

***

Number 1: magnetic moment 1.83 μB/cell. Number 2: magnetic moment 0.01 μB/cell.